Record 1
Ba5ZnI4 | PBE-GGA | optimized geometry

Summary:
**Symmetry**: I4/m (87)
**Energy relative to the elements, uncorrected**: -1091 meV per atom
**Magnetic moment**: 0.01 μB per cell
**Crystal system**: tetragonal
**Volume**: 443 Å³ per cell

a = 8.6764 Å, b = 8.6764 Å, c = 8.6764 Å
α = 99.48°, β = 99.48°, γ = 132.12°
Fractional positions:
Ba1 0.0000 0.0000 0.0000
Ba2 0.2214 0.4002 0.6216
Ba3 0.4002 0.7786 0.1788
Ba4 0.5998 0.2214 0.8212
Ba5 0.7786 0.5998 0.3784
Zn1 0.5000 0.5000 0.0000
I1 0.0897 0.6887 0.7784
I2 0.3113 0.0897 0.4011
I3 0.6887 0.9103 0.5989
I4 0.9103 0.3113 0.2216


Record 2
CaNbCu2 | PBE-GGA | optimized geometry

Summary:
**Symmetry**: Fm-3m (225)
**Energy of formation from the pure elements**: 138 kJ/mol of formula units
**Magnetic moment**: 1.11 μB per cell
**Crystal system**: cubic
**Polymorph energy (0 for the lowest one)**: 0.000 eV per atom
**Volume**: 72 Å³ per cell

a = 4.6710 Å, b = 4.6710 Å, c = 4.6710 Å
α = 60.00°, β = 60.00°, γ = 60.00°
Fractional positions:
Ca1 0.0000 0.0000 0.0000
Nb1 0.5000 0.5000 0.5000
Cu1 0.2500 0.2500 0.2500
Cu2 0.7500 0.7500 0.7500


Record 3
MgZn2Au2 | PBE-GGA | optimized geometry

Summary:
**Symmetry**: P2_1/m (11)
**Energy of formation from the pure elements**: -147 kJ/mol of formula units
**Magnetic moment**: 0.00 μB per cell
**Crystal system**: monoclinic
**Polymorph energy (0 for the lowest one)**: 0.011 eV per atom
**Volume**: 187 Å³ per cell

a = 4.3419 Å, b = 4.4632 Å, c = 9.6421 Å
α = 90.00°, β = 90.05°, γ = 90.00°
Fractional positions:
Mg1 0.2493 0.2500 0.3150
Mg2 0.7507 0.7500 0.6850
Zn1 0.2503 0.2500 0.6792
Zn2 0.2510 0.2500 0.9992
Zn3 0.7490 0.7500 0.0008
Zn4 0.7497 0.7500 0.3208
Au1 0.2493 0.7500 0.1538
Au2 0.2502 0.7500 0.5090
Au3 0.7498 0.2500 0.4910
Au4 0.7507 0.2500 0.8462


Record 4
ReTcHg2 | PBE-GGA | optimized geometry

Summary:
**Symmetry**: F-43m (216)
**Energy of formation from the pure elements**: 371 kJ/mol of formula units
**Magnetic moment**: 0.04 μB per cell
**Crystal system**: cubic
**Polymorph energy (0 for the lowest one)**: 0.644 eV per atom
**Volume**: 71 Å³ per cell

a = 4.6473 Å, b = 4.6473 Å, c = 4.6473 Å
α = 60.00°, β = 60.00°, γ = 60.00°
Fractional positions:
Re1 0.0000 0.0000 0.0000
Tc1 0.2500 0.2500 0.2500
Hg1 0.5000 0.5000 0.5000
Hg2 0.7500 0.7500 0.7500


Record 5
Sm2GeI | PBE-GGA | optimized geometry

Summary:
**Symmetry**: R-3m (166)
**Energy relative to the elements, uncorrected**: -1009 meV per atom
**Magnetic moment**: 0.00 μB per cell
**Crystal system**: trigonal
**Polymorph energy (0 for the lowest one)**: 0.000 eV per atom
**Volume**: 122 Å³ per cell

a = 7.9726 Å, b = 7.9726 Å, c = 7.9726 Å
α = 31.40°, β = 31.40°, γ = 31.40°
Fractional positions:
Sm1 0.2326 0.2326 0.2326
Sm2 0.7674 0.7674 0.7674
Ge1 0.5000 0.5000 0.5000
I1 0.0000 0.0000 0.0000


Record 6
KRbHgTe | PBE-GGA | optimized geometry

Summary:
**Symmetry**: F-43m (216)
**Energy relative to the elements, uncorrected**: -760 meV per atom
**Magnetic moment**: 0.00 μB per cell
**Crystal system**: cubic
**Volume**: 156 Å³ per cell

a = 6.0409 Å, b = 6.0409 Å, c = 6.0409 Å
α = 60.00°, β = 60.00°, γ = 60.00°
Fractional positions:
K1 0.0000 0.0000 0.0000
Rb1 0.5000 0.5000 0.5000
Hg1 0.7500 0.7500 0.7500
Te1 0.2500 0.2500 0.2500